one | First-principles (PBE) data for ZrPt3O after structural relaxation, as listed in the Alexandria database.

Lattice parameters (Å, degrees): 4.969 4.969 4.969 90.00 90.00 90.00
Space group Pm-3m (No. 221)
Inequivalent atoms, fractional coordinates:
Zr: 0.000 0.000 0.000
Pt: 0.000 0.000 0.500
O: 0.500 0.500 0.500

Summary:
* size of the total moment: 0.00 μB per formula unit

---

two | First-principles (PBE) data for ZrPt3O after structural relaxation, as listed in the Alexandria database.

Lattice parameters (Å, degrees): 4.328 4.328 4.328 90.00 90.00 90.00
Space group Pm-3m (No. 221)
Inequivalent atoms, fractional coordinates:
Zr: 0.000 0.000 0.000
Pt: 0.000 0.500 0.500
O: 0.500 0.500 0.500

Summary:
* size of the total moment: 0.00 μB per formula unit

---

The winner here is two, beating the second structure by 1.580 eV/atom.

---

one | First-principles (PBE) data for PuO after structural relaxation, as listed in the Alexandria database.

Lattice parameters (Å, degrees): 4.287 8.659 3.195 90.00 90.00 90.00
Space group Cmcm (No. 63)
Inequivalent atoms, fractional coordinates:
Pu: 0.000 0.101 0.250
O: 0.000 0.281 0.750

Summary:
* size of the total moment: 0.00 μB per formula unit

---

two | First-principles (PBE) data for PuO after structural relaxation, as listed in the Alexandria database.

Lattice parameters (Å, degrees): 4.980 4.980 4.980 90.00 90.00 90.00
Space group Fm-3m (No. 225)
Inequivalent atoms, fractional coordinates:
Pu: 0.000 0.000 0.000
O: 0.000 0.000 0.500

Summary:
* size of the total moment: 5.61 μB per formula unit

---

The winner here is two, beating the second structure by 0.446 eV/atom.

---

one | First-principles (PBE) data for PuO4 after structural relaxation, as listed in the Alexandria database.

Lattice parameters (Å, degrees): 5.723 5.962 6.013 90.00 120.56 90.00
Space group P2_1/c (No. 14)
Inequivalent atoms, fractional coordinates:
Pu: 0.000 0.000 0.000
O: 0.049 0.216 0.798
O: 0.358 0.553 0.678

Summary:
* size of the total moment: 0.00 μB per formula unit

---

two | First-principles (PBE) data for PuO4 after structural relaxation, as listed in the Alexandria database.

Lattice parameters (Å, degrees): 4.123 4.123 4.123 90.00 90.00 90.00
Space group Pm-3m (No. 221)
Inequivalent atoms, fractional coordinates:
Pu: 0.000 0.000 0.000
O: 0.000 0.000 0.500
O: 0.500 0.500 0.500

Summary:
* size of the total moment: 4.02 μB per formula unit

---

The winner here is one, beating the second structure by 0.550 eV/atom.

---

one | First-principles (PBE) data for RbPu2O4 after structural relaxation, as listed in the Alexandria database.

Lattice parameters (Å, degrees): 5.163 5.163 6.821 90.00 90.00 90.00
Space group P-42m (No. 111)
Inequivalent atoms, fractional coordinates:
Rb: 0.000 0.000 0.000
Pu: 0.000 0.500 0.500
O: 0.243 0.243 0.336

Summary:
* size of the total moment: 9.00 μB per formula unit

---

two | First-principles (PBE) data for RbPu2O4 after structural relaxation, as listed in the Alexandria database.

Lattice parameters (Å, degrees): 3.515 11.640 11.570 90.00 90.00 90.00
Space group Cmcm (No. 63)
Inequivalent atoms, fractional coordinates:
Rb: 0.000 0.109 0.250
Pu: 0.000 0.366 0.069
O: 0.000 0.000 0.000
O: 0.000 0.255 0.593
O: 0.000 0.415 0.250

Summary:
* size of the total moment: 9.00 μB per formula unit

---

The winner here is two, beating the second structure by 0.258 eV/atom.

---

one | First-principles (PBE) data for Rb4PuO4 after structural relaxation, as listed in the Alexandria database.

Lattice parameters (Å, degrees): 6.940 6.940 11.992 90.00 90.00 90.00
Space group I-42m (No. 121)
Inequivalent atoms, fractional coordinates:
Rb: 0.000 0.000 0.206
Rb: 0.000 0.500 0.000
Pu: 0.000 0.000 0.500
O: 0.173 0.173 0.602

Summary:
* size of the total moment: 4.00 μB per formula unit

---

two | First-principles (PBE) data for Rb4PuO4 after structural relaxation, as listed in the Alexandria database.

Lattice parameters (Å, degrees): 13.209 3.635 11.442 90.00 110.14 90.00
Space group C2/m (No. 12)
Inequivalent atoms, fractional coordinates:
Rb: 0.074 0.000 0.316
Rb: 0.222 0.500 0.849
Pu: 0.000 0.500 0.000
O: 0.077 0.000 0.935
O: 0.121 0.500 0.165

Summary:
* size of the total moment: 3.07 μB per formula unit

---

The winner here is two, beating the second structure by 0.149 eV/atom.

---

one | First-principles (PBE) data for RbPuO4 after structural relaxation, as listed in the Alexandria database.

Lattice parameters (Å, degrees): 3.645 3.645 6.799 90.00 90.00 90.00
Space group P4/mmm (No. 123)
Inequivalent atoms, fractional coordinates:
Rb: 0.000 0.000 0.000
Pu: 0.500 0.500 0.500
O: 0.000 0.500 0.324

Summary:
* size of the total moment: 1.00 μB per formula unit

---

two | First-principles (PBE) data for RbPuO4 after structural relaxation, as listed in the Alexandria database.

Lattice parameters (Å, degrees): 13.343 5.720 6.012 90.00 107.33 90.00
Space group C2/c (No. 15)
Inequivalent atoms, fractional coordinates:
Rb: 0.000 0.221 0.250
Pu: 0.250 0.250 0.000
O: 0.113 0.351 0.904
O: 0.208 0.012 0.194

Summary:
* size of the total moment: 1.00 μB per formula unit

---

The winner here is two, beating the second structure by 0.374 eV/atom.